(1)
First-principles (PBE) data for a relaxed structure of SnGePd, as listed in the Alexandria database.

Output
**Total DFT energy (no corrections)**: -0.1777 hartree per atom

abc: 12.220 12.220 12.220
angles: 165.02 165.02 21.25
Atoms (fractional coordinates):
Sn 0.191 0.191 0.000
Sn 0.809 0.809 0.000
Ge 0.053 0.053 0.000
Ge 0.947 0.947 0.000
Pd 0.392 0.392 0.000
Pd 0.608 0.608 0.000



(2)
First-principles (PBE) data for a relaxed structure of SnGe2Pd2, as listed in the Alexandria database.

Output
**Total DFT energy (no corrections)**: -0.1814 hartree per atom

abc: 7.680 7.680 3.095
angles: 90.00 90.00 90.00
Atoms (fractional coordinates):
Sn 0.000 0.000 0.000
Sn 0.500 0.500 0.000
Ge 0.153 0.347 0.500
Ge 0.347 0.847 0.500
Ge 0.653 0.153 0.500
Ge 0.847 0.653 0.500
Pd 0.138 0.638 0.000
Pd 0.362 0.138 0.000
Pd 0.638 0.862 0.000
Pd 0.862 0.362 0.000



(3)
First-principles (PBE) data for a relaxed structure of SnGe2Pd3, as listed in the Alexandria database.

Output
**Total DFT energy (no corrections)**: -0.1901 hartree per atom

abc: 7.138 4.166 7.741
angles: 90.00 108.69 90.00
Atoms (fractional coordinates):
Sn 0.033 0.250 0.335
Sn 0.967 0.750 0.665
Ge 0.250 0.250 0.995
Ge 0.477 0.250 0.694
Ge 0.523 0.750 0.306
Ge 0.750 0.750 0.005
Pd 0.127 0.750 0.118
Pd 0.293 0.750 0.503
Pd 0.374 0.750 0.877
Pd 0.626 0.250 0.123
Pd 0.707 0.250 0.497
Pd 0.873 0.250 0.882



(4)
First-principles (PBE) data for a relaxed structure of SnGePd4, as listed in the Alexandria database.

Output
**Total DFT energy (no corrections)**: -0.1960 hartree per atom

abc: 7.881 5.665 4.590
angles: 90.00 90.11 90.00
Atoms (fractional coordinates):
Sn 0.000 0.000 0.000
Sn 0.000 0.500 0.500
Ge 0.500 0.000 0.500
Ge 0.500 0.500 0.000
Pd 0.185 0.094 0.501
Pd 0.185 0.406 0.001
Pd 0.340 0.607 0.501
Pd 0.340 0.893 0.001
Pd 0.660 0.107 0.999
Pd 0.660 0.393 0.499
Pd 0.815 0.594 0.999
Pd 0.815 0.906 0.499



(5)
First-principles (PBE) data for a relaxed structure of SnGePd4, as listed in the Alexandria database.

Output
**Total DFT energy (no corrections)**: -0.1997 hartree per atom

abc: 6.992 3.471 16.321
angles: 90.00 90.00 90.00
Atoms (fractional coordinates):
Sn 0.239 0.250 0.188
Sn 0.261 0.750 0.688
Sn 0.739 0.250 0.312
Sn 0.761 0.750 0.812
Ge 0.249 0.250 0.944
Ge 0.251 0.750 0.444
Ge 0.749 0.250 0.556
Ge 0.751 0.750 0.056
Pd 0.014 0.750 0.567
Pd 0.050 0.750 0.293
Pd 0.127 0.750 0.052
Pd 0.130 0.750 0.844
Pd 0.370 0.250 0.344
Pd 0.373 0.250 0.552
Pd 0.450 0.250 0.793
Pd 0.486 0.250 0.067
Pd 0.514 0.750 0.933
Pd 0.550 0.750 0.207
Pd 0.627 0.750 0.448
Pd 0.630 0.750 0.656
Pd 0.870 0.250 0.156
Pd 0.873 0.250 0.948
Pd 0.950 0.250 0.707
Pd 0.986 0.250 0.433



(6)
First-principles (PBE) data for a relaxed structure of SrSn2GePd2, as listed in the Alexandria database.

Output
**Total DFT energy (no corrections)**: -0.1670 hartree per atom

abc: 4.823 4.823 6.375
angles: 90.00 90.00 90.00
Atoms (fractional coordinates):
Sr 0.000 0.000 0.000
Sn 0.500 0.500 0.244
Sn 0.500 0.500 0.756
Ge 0.000 0.000 0.500
Pd 0.000 0.500 0.500
Pd 0.500 0.000 0.500



(7)
First-principles (PBE) data for a relaxed structure of Sr2SnGe4Pd3, as listed in the Alexandria database.

Output
**Total DFT energy (no corrections)**: -0.1743 hartree per atom

abc: 4.398 4.398 11.028
angles: 90.00 90.00 90.00
Atoms (fractional coordinates):
Sr 0.000 0.500 0.239
Sr 0.500 0.000 0.761
Sn 0.000 0.000 0.500
Ge 0.000 0.000 0.000
Ge 0.000 0.500 0.653
Ge 0.500 0.000 0.347
Ge 0.500 0.500 0.000
Pd 0.000 0.500 0.879
Pd 0.500 0.000 0.121
Pd 0.500 0.500 0.500



(8)
First-principles (PBE) data for a relaxed structure of SrSnGe2Pd, as listed in the Alexandria database.

Output
**Total DFT energy (no corrections)**: -0.1436 hartree per atom

abc: 5.331 5.331 5.038
angles: 90.00 90.00 90.00
Atoms (fractional coordinates):
Sr 0.000 0.000 0.000
Sn 0.500 0.500 0.500
Ge 0.000 0.500 0.500
Ge 0.500 0.000 0.500
Pd 0.500 0.500 0.000